An optimized crystal structure of CdReSb2, computed with PBE-GGA.

Geometry as CIF:
```
data_CdReSb2
_chemical_formula_sum 'Cd1 Re1 Sb2'
_symmetry_space_group_name_H-M 'P 1'
_symmetry_Int_Tables_number 1
_symmetry_space_group_name_Hall 'P 1'
_cell_length_a 10.750
_cell_length_b 10.750
_cell_length_c 10.750
_cell_angle_alpha 17.40
_cell_angle_beta 17.40
_cell_angle_gamma 17.40
loop_
_atom_site_label
_atom_site_fract_x
_atom_site_fract_y
_atom_site_fract_z
Cd1 0.000 0.000 0.000
Re1 0.500 0.500 0.500
Sb1 0.230 0.230 0.230
Sb2 0.770 0.770 0.770
```

Calculated values
E_tot = -0.1874 Ha/atom
Uncorrected formation energy = 0.304 eV per atom
Mass density = 9.3 g/cm3
DOS(E_F) = 3.75 states/eV/f.u.